<A>
A geometry-optimized PrNdB2Pd6Pt2 structure, computed with PBE.

Computed properties:
The density comes out at 11.07 Mg/m³.

abc: 5.4895 5.4895 7.6729
angles: 90.00 90.00 120.00
Last column: nearest neighbours and their distance in Å.
Space group P6/mmm (No. 191)
Symmetry-distinct sites (fractional):
Pr  0.0000  0.0000  0.0000  12 Pd 3.13, 6 B 3.17
Nd  0.0000  0.0000  0.5000  6 Pt 3.17
B  0.3333  0.6667  0.0000  6 Pd 2.19
Pd  0.0000  0.5000  0.1973  2 B 2.19
Pt  0.3333  0.6667  0.5000  6 Pd 2.81

***

<B>
A geometry-optimized PrNdB2Pd6Pt2 structure, computed with PBE.

Computed properties:
The density comes out at 11.10 Mg/m³.

abc: 5.4899 5.4899 7.6543
angles: 90.00 90.00 120.00
Last column: nearest neighbours and their distance in Å.
Space group P6/mmm (No. 191)
Symmetry-distinct sites (fractional):
Pr  0.0000  0.0000  0.0000  6 Pt 3.17
Nd  0.0000  0.0000  0.5000  12 Pd 3.13, 6 B 3.17
B  0.3333  0.6667  0.5000  6 Pd 2.18
Pd  0.0000  0.5000  0.3038  2 B 2.18
Pt  0.3333  0.6667  0.0000  6 Pd 2.81

***

Stability summary - winner: <B>; margin: 0.6 kJ/mol of atoms.

***

<A>
A geometry-optimized PrNdB2Pt8 structure, computed with PBE.

Computed properties:
The density comes out at 15.35 Mg/m³.

abc: 5.5032 5.5032 7.7021
angles: 90.00 90.00 120.00
Last column: nearest neighbours and their distance in Å.
Space group P6/mmm (No. 191)
Symmetry-distinct sites (fractional):
Pr  0.0000  0.0000  0.0000  6 Pt 3.18
Nd  0.0000  0.0000  0.5000  12 Pt 3.15, 6 B 3.18
B  0.3333  0.6667  0.5000  6 Pt 2.21
Pt  0.0000  0.5000  0.3011  2 B 2.21
Pt  0.3333  0.6667  0.0000  6 Pt 2.81

***

<B>
A geometry-optimized PrNdB2Pt8 structure, computed with PBE.

Computed properties:
The density comes out at 15.33 Mg/m³.

abc: 5.5061 5.5061 7.7056
angles: 90.00 90.00 120.00
Last column: nearest neighbours and their distance in Å.
Space group P6/mmm (No. 191)
Symmetry-distinct sites (fractional):
Pr  0.0000  0.0000  0.0000  12 Pt 3.15, 6 B 3.18
Nd  0.0000  0.0000  0.5000  6 Pt 3.18
B  0.3333  0.6667  0.0000  6 Pt 2.21
Pt  0.0000  0.5000  0.1990  2 B 2.21
Pt  0.3333  0.6667  0.5000  6 Pt 2.81

***

Stability summary - winner: <A>; margin: 0.8 kJ/mol of atoms.

***

<A>
A geometry-optimized SrNdB2Pt8 structure, computed with PBE.

Computed properties:
The density comes out at 14.89 Mg/m³.

abc: 5.5294 5.5294 7.6400
angles: 90.00 90.00 120.00
Last column: nearest neighbours and their distance in Å.
Space group P6/mmm (No. 191)
Symmetry-distinct sites (fractional):
Sr  0.0000  0.0000  0.0000  12 Pt 3.16, 6 B 3.19
Nd  0.0000  0.0000  0.5000  6 Pt 3.19
B  0.3333  0.6667  0.0000  6 Pt 2.20
Pt  0.0000  0.5000  0.1991  2 B 2.20
Pt  0.3333  0.6667  0.5000  6 Pt 2.80

***

<B>
A geometry-optimized SrNdB2Pt8 structure, computed with PBE.

Computed properties:
The density comes out at 14.79 Mg/m³.

abc: 5.5451 5.5451 7.6478
angles: 90.00 90.00 120.00
Last column: nearest neighbours and their distance in Å.
Space group P6/mmm (No. 191)
Symmetry-distinct sites (fractional):
Sr  0.0000  0.0000  0.0000  6 Pt 3.20
Nd  0.0000  0.0000  0.5000  12 Pt 3.16, 6 B 3.20
B  0.3333  0.6667  0.5000  6 Pt 2.21
Pt  0.0000  0.5000  0.3017  2 B 2.21
Pt  0.3333  0.6667  0.0000  6 Pt 2.81

***

Stability summary - winner: <A>; margin: 0.8 kJ/mol of atoms.

***

<A>
A geometry-optimized NdSnB structure, computed with PBE.

Computed properties:
The density comes out at 7.02 Mg/m³.

abc: 6.3738 6.3738 6.3738
angles: 90.00 90.00 90.00
Last column: nearest neighbours and their distance in Å.
Space group F-43m (No. 216)
Symmetry-distinct sites (fractional):
Nd  0.0000  0.0000  0.0000  4 B 2.76
Sn  0.0000  0.0000  0.5000  4 B 2.76
B  0.2500  0.2500  0.2500  4 Sn 2.76, 4 Nd 2.76

***

<B>
A geometry-optimized NdSnB structure, computed with PBE.

Computed properties:
The density comes out at 5.69 Mg/m³.

abc: 6.8355 6.8355 6.8355
angles: 90.00 90.00 90.00
Last column: nearest neighbours and their distance in Å.
Space group F-43m (No. 216)
Symmetry-distinct sites (fractional):
Nd  0.0000  0.0000  0.0000  4 Sn 2.96, 4 B 2.96
Sn  0.2500  0.2500  0.2500  4 Nd 2.96
B  0.2500  0.2500  0.7500  4 Nd 2.96

***

<C>
A geometry-optimized NdSnB structure, computed with PBE.

Computed properties:
The density comes out at 5.93 Mg/m³.

abc: 6.7431 6.7431 6.7431
angles: 90.00 90.00 90.00
Last column: nearest neighbours and their distance in Å.
Space group F-43m (No. 216)
Symmetry-distinct sites (fractional):
Nd  0.0000  0.0000  0.0000  4 Sn 2.92
Sn  0.2500  0.2500  0.7500  4 Nd 2.92, 4 B 2.92
B  0.0000  0.0000  0.5000  4 Sn 2.92

***

Stability summary - winner: <A>; margin: 68.2 kJ/mol of atoms.

***

<A>
A geometry-optimized NdSnB4 structure, computed with PBE.

Computed properties:
The density comes out at 6.70 Mg/m³.

abc: 3.2524 5.3796 8.6703
angles: 90.00 90.00 90.00
Last column: nearest neighbours and their distance in Å.
Space group Immm (No. 71)
Symmetry-distinct sites (fractional):
Nd  0.0000  0.0000  0.0000  12 B 2.81-2.85, 4 Sn 3.14
Sn  0.0000  0.0000  0.5000  12 B 2.74-2.92
B  0.0000  0.3273  0.2581  3 B 1.83-1.86

***

<B>
A geometry-optimized NdSnB4 structure, computed with PBE.

Computed properties:
The density comes out at 6.73 Mg/m³.

abc: 3.2380 3.2380 8.3183
angles: 90.00 90.00 120.00
Last column: nearest neighbours and their distance in Å.
Space group P6/mmm (No. 191)
Symmetry-distinct sites (fractional):
Nd  0.0000  0.0000  0.0000  12 B 2.81
Sn  0.0000  0.0000  0.5000  12 B 2.79
B  0.3333  0.6667  0.2516  3 B 1.87

***

Stability summary - winner: <A>; margin: 14.4 kJ/mol of atoms.

***

<A>
A geometry-optimized TbNdB4 structure, computed with PBE.

Computed properties:
The density comes out at 7.52 Mg/m³.

abc: 3.3167 3.3167 8.0330
angles: 90.00 90.00 120.00
Last column: nearest neighbours and their distance in Å.
Space group P6/mmm (No. 191)
Symmetry-distinct sites (fractional):
Tb  0.0000  0.0000  0.0000  12 B 2.72
Nd  0.0000  0.0000  0.5000  12 B 2.83
B  0.3333  0.6667  0.2400  3 B 1.91

***

<B>
A geometry-optimized TbNdB4 structure, computed with PBE.

Computed properties:
The density comes out at 7.50 Mg/m³.

abc: 3.3195 5.7537 8.0329
angles: 90.00 90.00 90.00
Last column: nearest neighbours and their distance in Å.
Space group Immm (No. 71)
Symmetry-distinct sites (fractional):
Tb  0.0000  0.0000  0.0000  12 B 2.77-2.79
Nd  0.0000  0.0000  0.5000  12 B 2.77-2.79
B  0.0000  0.3335  0.2516  3 B 1.92

***

Stability summary - winner: <A>; margin: 1.6 kJ/mol of atoms.

***

<A>
A geometry-optimized NdB4W structure, computed with PBE.

Computed properties:
The density comes out at 9.68 Mg/m³.

abc: 3.1332 3.1332 7.4941
angles: 90.00 90.00 120.00
Last column: nearest neighbours and their distance in Å.
Space group P6/mmm (No. 191)
Symmetry-distinct sites (fractional):
Nd  0.0000  0.0000  0.0000  12 B 2.80, 6 Nd 3.13
B  0.3333  0.6667  0.2854  3 B 1.81
W  0.0000  0.0000  0.5000  12 B 2.42

***

<B>
A geometry-optimized NdB4W structure, computed with PBE.

Computed properties:
The density comes out at 9.54 Mg/m³.

abc: 3.1933 5.5369 7.3145
angles: 90.00 90.00 90.00
Last column: nearest neighbours and their distance in Å.
Space group Immm (No. 71)
Symmetry-distinct sites (fractional):
Nd  0.0000  0.0000  0.0000  12 B 2.59-2.62
B  0.0000  0.3389  0.2436  3 B 1.78-1.88
W  0.0000  0.0000  0.5000  12 B 2.55-2.65

***

Stability summary - winner: <A>; margin: 19.3 kJ/mol of atoms.

***

<A>
A geometry-optimized NdZnB structure, computed with PBE.

Computed properties:
The density comes out at 6.28 Mg/m³.

abc: 6.1551 6.1551 6.1551
angles: 90.00 90.00 90.00
Last column: nearest neighbours and their distance in Å.
Space group F-43m (No. 216)
Symmetry-distinct sites (fractional):
Nd  0.0000  0.0000  0.0000  4 Zn 2.67
Zn  0.2500  0.2500  0.7500  4 Nd 2.67, 4 B 2.67
B  0.0000  0.0000  0.5000  4 Zn 2.67

***

<B>
A geometry-optimized NdZnB structure, computed with PBE.

Computed properties:
The density comes out at 6.48 Mg/m³.

abc: 6.0923 6.0923 6.0923
angles: 90.00 90.00 90.00
Last column: nearest neighbours and their distance in Å.
Space group F-43m (No. 216)
Symmetry-distinct sites (fractional):
Nd  0.0000  0.0000  0.0000  4 B 2.64
Zn  0.0000  0.0000  0.5000  4 B 2.64
B  0.2500  0.2500  0.2500  4 Nd 2.64, 4 Zn 2.64

***

Stability summary - winner: <B>; margin: 47.7 kJ/mol of atoms.